TcRh2 | Alexandria via LeMat-Bulk | PBEsol | relaxed; ΔE_f = -0.0555 eV per atom; uncorrected energy = -0.339 Ha/atom
1.0
-0.778 -1.909 -1.720
6.956 -1.854 -1.090
-3.836 -3.207 5.293
Tc Rh
3 6
Direct
0.000 0.667 0.333
0.500 0.000 0.000
0.000 0.333 0.667
0.500 0.361 0.361
0.000 0.699 0.699
0.000 0.301 0.000
0.000 0.000 0.301
0.500 0.000 0.639
0.500 0.639 0.000